Material: Tl2HgTe2
Method: DFT, PBE-GGA
State: relaxed

abc: 8.4002 8.4002 4.9186
angles: 90.00 90.00 90.00
Space group P4/mbm (No. 127)
Asymmetric unit:
Tl 0.1365 0.3635 0.0000
Hg 0.0000 0.0000 0.5000
Te 0.1784 0.6784 0.5000

Values from the calculation:
Spin magnetization   0.00 μB/atom
Formation energy without anion corrections   -0.49 eV/f.u.
Calculated volume   347.1 Å³ per cell
Distance to the lowest polymorph of the same formula   133.0 meV/atom

---

Material: Tb6GaPd5
Method: DFT, PBE-GGA
State: relaxed

abc: 5.0173 7.0133 7.9421
angles: 90.00 108.22 90.00
Space group P2/m (No. 10)
Asymmetric unit:
Tb 0.0000 0.2442 0.0000
Tb 0.3309 0.2498 0.6630
Ga 0.5000 0.5000 0.0000
Pd 0.1594 0.5000 0.3150
Pd 0.1689 0.0000 0.3359
Pd 0.5000 0.0000 0.0000

Values from the calculation:
Spin magnetization   0.00 μB/atom
Calculated volume   265.5 Å³ per cell
Energy relative to the elements   -9.8 eV/f.u.

---

Material: ErTh5Pb4
Method: DFT, PBE-GGA
State: relaxed

abc: 18.3699 5.0313 7.0621
angles: 90.00 110.46 90.00
Space group C2/m (No. 12)
Asymmetric unit:
Er 0.0000 0.0000 0.0000
Th 0.0000 0.0000 0.5000
Th 0.1093 0.5000 0.3891
Th 0.2024 0.0000 0.8059
Pb 0.0854 0.5000 0.8509
Pb 0.1970 0.0000 0.2851

Values from the calculation:
Spin magnetization   0.00 μB/atom
Calculated volume   611.5 Å³ per cell
Energy relative to the elements   -2.3 eV/f.u.